(1)
First-principles (PBE) data for crystalline Pr2Sm3Sc at its relaxed geometry, as listed in the Alexandria database.

The calculation puts the formation energy at 0.038 eV per atom. The calculation puts the density of states at the Fermi level at 1.4121 states/eV per atom. As for the distance to the lowest polymorph of the same formula: 0 meV per atom.

Geometry as extended XYZ:
```
12
Lattice="6.215 0.000 0.000 -2.044 7.770 0.000 -0.049 -3.346 8.163" Properties=species:S:1:pos:R:3 pbc="T T T"
Pr -0.481 1.965 2.427
Pr 0.570 4.714 0.337
Pr 3.552 -0.289 7.827
Pr 4.603 2.459 5.736
Sm 0.479 -1.958 7.113
Sm -0.518 5.295 3.744
Sm 2.579 0.328 1.761
Sm 1.543 4.096 6.402
Sm 4.640 -0.870 4.419
Sm 3.642 6.382 1.050
Sc 1.540 0.826 5.066
Sc 2.581 3.599 3.097
```



(2)
First-principles (PBE) data for crystalline Pr4SmSc2 at its relaxed geometry, as listed in the Alexandria database.

The calculation puts the formation energy at 0.697 eV per atom. The calculation puts the density of states at the Fermi level at 1.8745 states/eV per atom. As for the distance to the lowest polymorph of the same formula: 463 meV per atom.

Geometry as extended XYZ:
```
7
Lattice="-2.897 2.897 7.969 2.897 -2.897 7.969 2.897 2.897 -7.969" Properties=species:S:1:pos:R:3 pbc="T T T"
Pr 2.897 0.000 0.000
Pr 0.000 0.000 3.108
Pr 0.000 2.897 0.000
Pr 0.000 0.000 12.830
Sm 0.000 0.000 0.000
Sc 0.000 0.000 6.370
Sc 0.000 0.000 9.569
```



(3)
First-principles (PBE) data for crystalline Pr4Sm4Sc at its relaxed geometry, as listed in the Alexandria database.

The calculation puts the formation energy at 0.035 eV per atom. The calculation puts the density of states at the Fermi level at 1.6789 states/eV per atom.

Geometry as extended XYZ:
```
9
Lattice="-5.442 5.442 2.570 5.442 -5.442 2.570 5.442 5.442 -2.570" Properties=species:S:1:pos:R:3 pbc="T T T"
Pr 3.581 0.000 0.000
Pr 7.303 0.000 0.000
Pr 0.000 3.581 0.000
Pr 0.000 7.303 0.000
Sm 3.663 3.663 0.000
Sm 1.779 -1.779 2.570
Sm -1.779 1.779 2.570
Sm 1.779 1.779 2.570
Sc 0.000 0.000 0.000
```